Entry 1:
4
Lattice="3.0141 0.0000 0.0000 0.0000 4.7402 0.0000 0.0000 0.0000 5.0808" Properties=species:S:1:pos:R:3 comment="MnTlSi2 (PBE, relaxed)" spacegroup="Pmmm (47)" volume_a3_per_cell=72.59 relative_energy_kj_per_mol_fu=200 total_energy_ev_per_atom=-4.945 total_magnetization_mub_per_atom=0.879 raw_formation_energy_ev_per_atom=0.650 pbc="T T T"
Mn 0.0000 0.0000 0.0000
Tl 1.5070 2.3701 0.0000
Si 0.0000 2.3701 2.5404
Si 1.5070 0.0000 2.5404

***

Entry 2:
8
Lattice="-3.1753 3.1753 4.6633 3.1753 -3.1753 4.6633 3.1753 3.1753 -4.6633" Properties=species:S:1:pos:R:3 comment="Cu2PtI (PBE, relaxed)" spacegroup="I-42d (122)" volume_a3_per_cell=188.08 relative_energy_kj_per_mol_fu=24 total_energy_ev_per_atom=-3.384 total_magnetization_mub_per_atom=0.000 raw_formation_energy_ev_per_atom=0.562 pbc="T T T"
Cu 4.7630 1.4655 -1.1658
Cu 1.4655 1.5877 1.1658
Cu -1.5877 1.7098 3.4975
Cu 1.7098 1.5877 5.8292
Pt 0.0000 0.0000 0.0000
Pt 0.0000 3.1753 2.3317
I 3.1753 0.0000 2.3317
I 0.0000 0.0000 4.6633

***

Entry 3:
6
Lattice="3.6072 0.0000 0.0000 0.0000 3.6072 0.0000 0.0000 0.0000 11.2914" Properties=species:S:1:pos:R:3 comment="Tb3CuHg2 (PBE, relaxed)" spacegroup="P4/mmm (123)" volume_a3_per_cell=146.92 formation_energy_ev_per_atom=-0.390 total_energy_ev_per_atom=-3.488 total_magnetization_mub_per_atom=0.007 pbc="T T T"
Tb 0.0000 0.0000 0.0000
Tb 0.0000 0.0000 3.9748
Tb 0.0000 0.0000 7.3167
Cu 1.8036 1.8036 5.6457
Hg 1.8036 1.8036 1.9739
Hg 1.8036 1.8036 9.3175

***

Entry 4:
16
Lattice="10.3656 0.0000 0.0000 0.0000 5.1607 5.1581 0.0000 -5.1607 5.1581" Properties=species:S:1:pos:R:3 comment="La14PuIn (PBE, relaxed)" spacegroup="Amm2 (38)" volume_a3_per_cell=551.85 formation_energy_ev_per_atom=-0.043 total_energy_ev_per_atom=-5.422 total_magnetization_mub_per_atom=0.419 pbc="T T T"
La 0.0000 0.0000 0.0000
La 0.0000 -2.5295 2.5684
La 0.0000 2.5295 2.5684
La 0.0000 0.0000 5.1399
La 2.6584 0.0000 7.7597
La 2.7195 -2.5918 5.1508
La 2.7195 2.5918 5.1508
La 2.7735 0.0000 2.5717
La 5.1828 -2.5159 7.7101
La 5.1828 2.5159 7.7101
La 7.5921 0.0000 2.5717
La 7.6460 -2.5918 5.1508
La 7.6460 2.5918 5.1508
La 7.7072 0.0000 7.7597
Pu 5.1828 0.0000 5.1474
In 5.1828 0.0000 10.3012

***

Entry 5:
8
Lattice="6.9534 0.0000 0.0000 0.0000 3.9970 0.0000 -2.2860 0.0000 6.5720" Properties=species:S:1:pos:R:3 comment="PmNd2PaS4 (PBE, relaxed)" spacegroup="P2/m (10)" volume_a3_per_cell=182.65 total_energy_ev_per_atom=-6.936 total_magnetization_mub_per_atom=0.001 raw_formation_energy_ev_per_atom=-1.899 pbc="T T T"
Pm 0.0000 0.0000 0.0000
Nd -1.1430 1.9985 3.2860
Nd 2.3337 0.0000 3.2860
Pa 3.4767 1.9985 0.0000
S 1.2073 1.9985 1.5942
S 0.0546 0.0000 4.9916
S 4.6128 0.0000 1.5805
S 3.4600 1.9985 4.9778

***

Entry 6:
8
Lattice="-6.5914 6.5914 2.2751 6.5914 -6.5914 2.2751 6.5914 6.5914 -2.2751" Properties=species:S:1:pos:R:3 comment="Cs2CoGe (PBE, relaxed)" spacegroup="I-42d (122)" volume_a3_per_cell=395.39 formation_energy_ev_per_atom=0.334 total_energy_ev_per_atom=-3.023 total_magnetization_mub_per_atom=0.227 pbc="T T T"
Cs 0.8033 3.2957 0.5688
Cs -3.2957 5.7881 1.7063
Cs -0.8033 9.8871 0.5688
Cs 3.2957 7.3947 1.7063
Co 0.0000 0.0000 0.0000
Co 0.0000 6.5914 1.1376
Ge 6.5914 0.0000 1.1376
Ge 0.0000 0.0000 2.2751

***

Entry 7:
5
Lattice="4.5056 0.0000 0.0000 0.0000 4.5056 0.0000 0.0000 0.0000 3.6880" Properties=species:S:1:pos:R:3 comment="TaTiNb2H (PBE, relaxed)" spacegroup="P4/mmm (123)" volume_a3_per_cell=74.87 relative_energy_kj_per_mol_fu=30 total_energy_ev_per_atom=-8.638 total_magnetization_mub_per_atom=0.000 pbc="T T T"
Ta 0.0000 0.0000 0.0000
Ti 2.2528 2.2528 0.0000
Nb 0.0000 2.2528 1.8440
Nb 2.2528 0.0000 1.8440
H 0.0000 0.0000 1.8440

***

Entry 8:
16
Lattice="-3.8071 3.8071 6.6930 3.8071 -3.8071 6.6930 3.8071 3.8071 -6.6930" Properties=species:S:1:pos:R:3 comment="Dy5Co2Sn (PBE, relaxed)" spacegroup="I4/mcm (140)" volume_a3_per_cell=388.03 formation_energy_ev_per_atom=-0.345 total_energy_ev_per_atom=-5.498 total_magnetization_mub_per_atom=0.000 pbc="T T T"
Dy 0.0000 0.0000 0.0000
Dy 5.0265 1.2194 -1.7719
Dy 1.2194 2.5877 -1.7719
Dy 5.0265 1.2194 1.7719
Dy 1.2194 2.5877 1.7719
Dy 0.0000 0.0000 6.6930
Dy 2.5877 1.2194 4.9211
Dy -1.2194 2.5877 4.9211
Dy 2.5877 1.2194 8.4648
Dy -1.2194 2.5877 8.4648
Co 2.7854 1.0217 0.0000
Co 2.7854 -1.0217 6.6930
Co 1.0217 4.8288 0.0000
Co 1.0217 2.7854 6.6930
Sn 0.0000 0.0000 3.3465
Sn 0.0000 0.0000 10.0394